1.
Compound: TaVO6
Source: the Alexandria database
Functional: GGA+U
Structure: optimized geometry

abc: 5.216 5.216 4.856
angles: 96.67 96.67 124.44
Each line ends with the local moment (μB).
Fractional positions:
Ta 0.000 0.000 0.000  -0.11
V 0.500 0.500 0.500  -0.30
O 0.255 0.255 0.741  0.37
O 0.400 0.127 0.260  0.33
O 0.745 0.745 0.259  0.37
O 0.873 0.600 0.740  0.33
O 0.600 0.873 0.740  0.33
O 0.127 0.400 0.260  0.33

## Properties
SG ... No. 12
DFT total energy ... -7.721 eV/atom

---

2.
Compound: TaV2O8
Source: the Alexandria database
Functional: GGA+U
Structure: optimized geometry

abc: 4.991 5.755 5.755
angles: 97.98 96.02 96.02
Each line ends with the local moment (μB).
Fractional positions:
Ta 0.000 0.000 0.000  0.00
V 0.454 0.280 0.280  0.00
V 0.546 0.720 0.720  0.00
O 0.745 0.984 0.696  0.01
O 0.255 0.304 0.016  0.01
O 0.751 0.174 0.174  0.00
O 0.249 0.826 0.826  0.00
O 0.745 0.696 0.984  0.01
O 0.255 0.016 0.304  0.01
O 0.296 0.491 0.491  0.41
O 0.704 0.509 0.509  0.41

## Properties
SG ... No. 12
DFT total energy ... -7.851 eV/atom

---

3.
Compound: Ta9VO25
Source: the Alexandria database
Functional: GGA+U
Structure: optimized geometry

abc: 3.861 11.418 11.418
angles: 88.36 80.27 80.27
Fractional positions:
O 0.939 0.630 0.513
O 0.548 0.513 0.370
O 0.430 0.487 0.630
O 0.083 0.370 0.487
O 0.500 0.000 0.000
O 0.250 0.140 0.365
O 0.385 0.365 0.860
O 0.610 0.635 0.140
O 0.755 0.860 0.635
O 0.831 0.961 0.392
O 0.983 0.735 0.290
O 0.728 0.290 0.265
O 0.282 0.710 0.735
O 0.007 0.265 0.710
O 0.948 0.167 0.937
O 0.116 0.937 0.833
O 0.885 0.063 0.167
O 0.778 0.392 0.039
O 0.354 0.808 0.489
O 0.157 0.489 0.192
O 0.838 0.511 0.808
O 0.651 0.192 0.511
O 0.183 0.039 0.608
O 0.209 0.608 0.961
O 0.052 0.833 0.063
V 0.250 0.500 0.500
Ta 0.782 0.118 0.323
Ta 0.878 0.797 0.442
Ta 0.116 0.203 0.558
Ta 0.681 0.442 0.203
Ta 0.326 0.558 0.797
Ta 0.896 0.323 0.882
Ta 0.101 0.677 0.118
Ta 0.222 0.882 0.677
Ta 0.000 0.000 0.000

## Properties
SG ... No. 82
DFT total energy ... -9.567 eV/atom

---

4.
Compound: TaV2O6
Source: the Alexandria database
Functional: GGA+U
Structure: optimized geometry

abc: 4.656 4.656 9.190
angles: 90.00 90.00 90.00
Each line ends with the local moment (μB).
Fractional positions:
Ta 0.500 0.500 0.000  0.05
Ta 0.000 0.000 0.500  0.05
V 0.500 0.500 0.334  1.56
V 0.500 0.500 0.666  1.56
V 0.000 0.000 0.166  1.56
V 0.000 0.000 0.834  1.56
O 0.700 0.700 0.164  -0.05
O 0.700 0.700 0.836  -0.05
O 0.696 0.696 0.500  -0.06
O 0.804 0.196 0.000  -0.06
O 0.800 0.200 0.336  -0.05
O 0.800 0.200 0.664  -0.05
O 0.200 0.800 0.336  -0.05
O 0.200 0.800 0.664  -0.05
O 0.196 0.804 0.000  -0.06
O 0.304 0.304 0.500  -0.06
O 0.300 0.300 0.164  -0.05
O 0.300 0.300 0.836  -0.05

## Properties
SG ... No. 136
DFT total energy ... -8.619 eV/atom

---

5.
Compound: Ta3VO8
Source: the Alexandria database
Functional: GGA+U
Structure: optimized geometry

abc: 4.039 6.785 6.582
angles: 105.79 107.87 90.00
Each line ends with the local moment (μB).
Fractional positions:
Ta 0.393 0.281 0.787  0.08
Ta 0.708 0.298 0.416  0.01
Ta 0.604 0.708 0.208  0.04
V 0.296 0.696 0.591  2.60
O 0.448 0.625 0.896  -0.01
O 0.359 0.005 0.717  -0.04
O 0.879 0.318 0.759  0.01
O 0.230 0.338 0.460  0.00
O 0.752 0.627 0.503  0.00
O 0.124 0.706 0.248  0.00
O 0.560 0.359 0.119  0.00
O 0.646 0.008 0.291  0.00

## Properties
SG ... No. 8
DFT total energy ... -9.467 eV/atom

---

6.
Compound: TaVO5
Source: the Alexandria database
Functional: GGA+U
Structure: optimized geometry

abc: 5.614 7.061 12.056
angles: 90.00 90.00 90.00
Fractional positions:
Ta 0.250 0.157 0.559
Ta 0.750 0.843 0.441
Ta 0.750 0.657 0.941
Ta 0.250 0.343 0.059
V 0.250 0.970 0.846
V 0.750 0.030 0.154
V 0.750 0.470 0.654
V 0.250 0.530 0.346
O 0.250 0.178 0.924
O 0.750 0.822 0.076
O 0.750 0.678 0.576
O 0.250 0.322 0.424
O 0.250 0.028 0.704
O 0.750 0.972 0.296
O 0.750 0.528 0.796
O 0.250 0.472 0.204
O 0.000 0.500 0.000
O 0.500 0.500 0.000
O 0.000 0.000 0.500
O 0.500 0.000 0.500
O 0.001 0.160 0.124
O 0.501 0.840 0.876
O 0.999 0.660 0.376
O 0.499 0.340 0.624
O 0.999 0.840 0.876
O 0.499 0.160 0.124
O 0.001 0.340 0.624
O 0.501 0.660 0.376

## Properties
SG ... No. 62
DFT total energy ... -8.692 eV/atom

---

7.
Compound: TaV3O
Source: the Alexandria database
Functional: GGA+U
Structure: optimized geometry

abc: 4.128 4.128 4.128
angles: 90.00 90.00 90.00
Each line ends with the local moment (μB).
Fractional positions:
Ta 0.500 0.500 0.500  -0.76
O 0.000 0.000 0.000  -0.05
V 0.000 0.500 0.000  1.76
V 0.000 0.000 0.500  1.76
V 0.500 0.000 0.000  1.76

## Properties
Polymorph energy (0 for the lowest one) ... 0.0 meV per atom
SG ... No. 221
DFT total energy ... -7.635 eV/atom

---

8.
Compound: TaV3O
Source: the Alexandria database
Functional: GGA+U
Structure: optimized geometry

abc: 4.828 4.828 4.828
angles: 90.00 90.00 90.00
Each line ends with the local moment (μB).
Fractional positions:
Ta 0.000 0.000 0.000  -0.62
O 0.500 0.500 0.500  0.11
V 0.000 0.500 0.000  2.27
V 0.000 0.000 0.500  2.27
V 0.500 0.000 0.000  2.27

## Properties
Polymorph energy (0 for the lowest one) ... 2177.8 meV per atom
SG ... No. 221
DFT total energy ... -5.457 eV/atom

---

9.
Compound: Y2TaVO
Source: the Alexandria database
Functional: GGA+U
Structure: optimized geometry

abc: 5.753 3.584 5.753
angles: 90.00 90.00 90.00
Each line ends with the local moment (μB).
Fractional positions:
Y 0.000 0.000 0.500  0.03
Y 0.500 0.000 0.000  0.06
V 0.000 0.000 0.000  2.14
O 0.000 0.500 0.000  -0.18
Ta 0.500 0.500 0.500  -0.50

## Properties
SG ... No. 123
DFT total energy ... -7.025 eV/atom

---

10.
Compound: Ta2VZnO
Source: the Alexandria database
Functional: GGA+U
Structure: optimized geometry

abc: 4.251 4.251 4.045
angles: 90.00 90.00 90.00
Each line ends with the local moment (μB).
Fractional positions:
Zn 0.500 0.500 0.500  0.00
V 0.000 0.000 0.500  2.04
O 0.000 0.000 0.000  0.02
Ta 0.000 0.500 0.000  -0.15
Ta 0.500 0.000 0.000  -0.15

## Properties
SG ... No. 123
DFT total energy ... -7.794 eV/atom

---

11.
Compound: TaVZnO6
Source: the Alexandria database
Functional: GGA+U
Structure: optimized geometry

abc: 5.012 5.012 8.945
angles: 90.00 90.00 120.00
Fractional positions:
Ta 0.000 0.000 0.000
Ta 0.000 0.000 0.500
V 0.667 0.333 0.250
V 0.333 0.667 0.750
Zn 0.333 0.667 0.250
Zn 0.667 0.333 0.750
O 0.690 0.655 0.128
O 0.966 0.310 0.128
O 0.310 0.966 0.628
O 0.034 0.690 0.872
O 0.345 0.310 0.372
O 0.966 0.655 0.372
O 0.655 0.966 0.872
O 0.690 0.034 0.372
O 0.034 0.345 0.628
O 0.345 0.034 0.128
O 0.655 0.690 0.628
O 0.310 0.345 0.872

## Properties
SG ... No. 163
DFT total energy ... -7.634 eV/atom

---

12.
Compound: Ta2VZn2O8
Source: the Alexandria database
Functional: GGA+U
Structure: optimized geometry

abc: 5.324 5.958 10.197
angles: 106.99 90.11 90.00
Each line ends with the local moment (μB).
Fractional positions:
Ta 0.268 0.960 0.232  0.05
Ta 0.232 0.729 0.768  0.05
Ta 0.732 0.040 0.768  0.05
Ta 0.768 0.271 0.232  0.05
V 0.250 0.354 0.000  2.68
V 0.750 0.646 0.000  2.68
Zn 0.228 0.129 0.564  0.00
Zn 0.272 0.565 0.436  0.00
Zn 0.772 0.871 0.436  0.00
Zn 0.728 0.435 0.564  0.00
O 0.934 0.958 0.141  -0.01
O 0.566 0.816 0.859  -0.01
O 0.066 0.042 0.859  -0.01
O 0.434 0.184 0.141  -0.01
O 0.405 0.685 0.119  -0.02
O 0.095 0.566 0.881  -0.02
O 0.595 0.315 0.881  -0.02
O 0.905 0.434 0.119  -0.02
O 0.570 0.073 0.355  0.00
O 0.930 0.718 0.645  0.00
O 0.070 0.282 0.355  0.00
O 0.430 0.927 0.645  0.00
O 0.642 0.544 0.388  0.00
O 0.858 0.156 0.612  0.00
O 0.358 0.456 0.612  0.00
O 0.142 0.844 0.388  0.00

## Properties
SG ... No. 15
DFT total energy ... -7.892 eV/atom

---

13.
Compound: TaWO4
Source: the Alexandria database
Functional: GGA+U
Structure: optimized geometry

abc: 3.204 4.857 4.857
angles: 90.98 90.00 90.00
Each line ends with the local moment (μB).
Fractional positions:
Ta 0.000 0.500 0.500  0.11
W 0.500 0.000 0.000  2.71
O 0.000 0.211 0.211  0.02
O 0.000 0.789 0.789  0.02
O 0.500 0.684 0.316  0.00
O 0.500 0.316 0.684  0.00

## Properties
SG ... No. 65
DFT total energy ... -8.831 eV/atom

---

14.
Compound: TaW2O
Source: the Alexandria database
Functional: GGA+U
Structure: optimized geometry

abc: 7.217 7.217 5.615
angles: 50.01 50.01 90.00
Each line ends with the local moment (μB).
Fractional positions:
O 0.500 0.500 0.000  0.02
O 0.250 0.750 0.500  0.02
W 0.523 0.125 0.250  0.31
W 0.227 0.625 0.250  0.31
W 0.375 0.477 0.750  0.29
W 0.875 0.773 0.750  0.30
Ta 0.000 0.000 0.000  -0.10
Ta 0.750 0.250 0.500  -0.10

## Properties
SG ... No. 122
DFT total energy ... -7.375 eV/atom

---

15.
Compound: Ta2W2O11
Source: the Alexandria database
Functional: GGA+U
Structure: optimized geometry

abc: 7.344 7.344 13.993
angles: 69.19 69.19 59.83
Fractional positions:
Ta 0.023 0.464 0.539
Ta 0.684 0.784 0.229
Ta 0.536 0.977 0.461
Ta 0.216 0.316 0.771
W 0.005 0.995 0.000
W 0.491 0.028 0.989
W 0.972 0.509 0.011
W 0.542 0.458 0.500
O 0.273 0.919 0.025
O 0.636 0.574 0.350
O 0.899 0.285 0.027
O 0.809 0.380 0.529
O 0.868 0.542 0.149
O 0.243 0.188 0.503
O 0.110 0.101 0.853
O 0.579 0.987 0.319
O 0.261 0.295 0.025
O 0.482 0.920 0.148
O 0.620 0.191 0.471
O 0.444 0.749 0.519
O 0.458 0.132 0.851
O 0.705 0.739 0.975
O 0.812 0.757 0.497
O 0.899 0.890 0.147
O 0.080 0.518 0.852
O 0.251 0.556 0.481
O 0.013 0.421 0.681
O 0.081 0.727 0.975
O 0.426 0.364 0.650
O 0.715 0.101 0.973

## Properties
SG ... No. 5
DFT total energy ... -8.502 eV/atom